1.
The following is a GGA-PBE calculation of a relaxed ScTl2W crystal, from Alexandria via LeMat-Bulk.

The formation energy comes out at 54.2 kJ per mole of atoms. For the polymorph energy (0 for the lowest one), the calculation gives 43 kJ/mol of formula units.

The structure belongs to space group Pm (No. 6); the cell edges are 3.129, 4.572 and 6.106 Å and the angles 90.00°, 100.08° and 90.00°. Symmetry generates all atoms from Sc at (0.000, 0.000, 0.000), Tl at (0.522, 0.500, 0.241), Tl at (0.947, 0.000, 0.527) and W at (0.460, 0.500, 0.755).



2.
The following is a GGA-PBE calculation of a relaxed ScTl3W crystal, from Alexandria via LeMat-Bulk.

The formation energy comes out at 90.5 kJ per mole of atoms. For the polymorph energy (0 for the lowest one), the calculation gives 0 kJ/mol of formula units.

The structure belongs to space group Pm-3m (No. 221); the cell edges are 5.342, 5.342 and 5.342 Å and the angles 90.00°, 90.00° and 90.00°. Symmetry generates all atoms from Sc at (0.000, 0.000, 0.000), Tl at (0.000, 0.500, 0.500) and W at (0.500, 0.500, 0.500).



3.
The following is a GGA-PBE calculation of a relaxed Sc2TlW crystal, from Alexandria via LeMat-Bulk.

The formation energy comes out at 40.0 kJ per mole of atoms. For the polymorph energy (0 for the lowest one), the calculation gives 139 kJ/mol of formula units.

The structure belongs to space group R3m (No. 160, hexagonal axes); the cell edges are 3.1227, 3.1227 and 30.3240 Å and the angles 90.00°, 90.00° and 120.00°. Symmetry generates all atoms from Sc at (0.0000, 0.0000, 0.0000), Sc at (0.0000, 0.0000, 0.2430), Tl at (0.0000, 0.0000, 0.7518) and W at (0.0000, 0.0000, 0.4987).